Entry from Alexandria via LeMat-Bulk: an optimized crystal structure of LaMg2Ti3S8 (PBE).

a = 7.729 Å, b = 7.729 Å, c = 7.729 Å
α = 56.73°, β = 56.73°, γ = 56.73°
Each line ends with the local moment (μB).
Fractional coordinates of all 14 atoms:
La (0.500, 0.500, 0.500)  0.03
Mg (0.872, 0.872, 0.872)  0.01
Mg (0.128, 0.128, 0.128)  0.01
Ti (0.000, 0.500, 0.500)  0.76
Ti (0.500, 0.500, 0.000)  0.76
Ti (0.500, 0.000, 0.500)  0.76
S (0.741, 0.741, 0.741)  -0.02
S (0.729, 0.239, 0.239)  -0.02
S (0.239, 0.729, 0.239)  -0.02
S (0.239, 0.239, 0.729)  -0.02
S (0.761, 0.271, 0.761)  -0.02
S (0.761, 0.761, 0.271)  -0.02
S (0.259, 0.259, 0.259)  -0.02
S (0.271, 0.761, 0.761)  -0.02

Calculated values
total moment: 2.8 μB/f.u.
calculated total energy: -6.058 eV per atom